DFT (GGA-PBEsol) results for a relaxed La2TaIn crystal.

Cell: 4.725 4.725 4.574 Å, 90.00 90.00 90.00°
Space group P4/mmm (No. 123)
Asymmetric unit:
1 La 0.000 0.500 0.000 [2 per cell]
2 Ta 0.000 0.000 0.500 [1 per cell]
3 In 0.500 0.500 0.500 [1 per cell]

energy relative to the elements	0.169	eV/atom
magnetic moment	0.0	μB/f.u.

DFT (GGA-PBEsol) results for a relaxed HfTi2CoNi crystal.

Cell: 4.714 4.714 4.267 Å, 90.00 90.00 90.00°
Space group P4/mmm (No. 123)
Asymmetric unit:
1 Hf 0.000 0.000 0.000 [1 per cell]
2 Ti 0.000 0.500 0.000 [2 per cell]
3 Co 0.000 0.000 0.500 [1 per cell]
4 Ni 0.500 0.500 0.500 [1 per cell]

energy relative to the elements	1.532	eV/atom
magnetic moment	0.7	μB/f.u.

DFT (GGA-PBEsol) results for a relaxed AlTl4Ag crystal.

Cell: 8.682 8.682 8.682 Å, 90.00 90.00 90.00°
Space group F-43m (No. 216)
Asymmetric unit:
1 Al 0.000 0.000 0.000 [4 per cell]
2 Tl 0.125 0.125 0.375 [16 per cell]
3 Ag 0.250 0.250 0.750 [4 per cell]

energy relative to the elements	0.465	eV/atom
magnetic moment	0.0	μB/f.u.

DFT (GGA-PBEsol) results for a relaxed Mg2ScNi crystal.

Cell: 4.611 4.611 6.538 Å, 90.00 90.00 90.00°
Space group I-4m2 (No. 119)
Asymmetric unit:
1 Mg 0.000 0.000 0.000 [2 per cell]
2 Mg 0.000 0.500 0.250 [2 per cell]
3 Sc 0.000 0.000 0.500 [2 per cell]
4 Ni 0.000 0.500 0.750 [2 per cell]

energy relative to the elements	-0.083	eV/atom
magnetic moment	0.0	μB/f.u.

DFT (GGA-PBEsol) results for a relaxed CoAs crystal.

Cell: 2.911 4.466 3.902 Å, 90.00 90.00 90.00°
Space group Pmmn (No. 59, origin choice 2)
Asymmetric unit:
1 Co 0.250 0.250 0.143 [2 per cell]
2 As 0.250 0.750 0.353 [2 per cell]

energy relative to the elements	-0.121	eV/atom
magnetic moment	0.0	μB/f.u.

DFT (GGA-PBEsol) results for a relaxed CaPBr crystal.

Cell: 3.6337 3.6337 7.2043 Å, 90.00 90.00 120.00°
Space group P3m1 (No. 156)
Asymmetric unit:
1 Ca 0.0000 0.0000 0.0000 [1 per cell]
2 P 0.3333 0.6667 0.7039 [1 per cell]
3 Br 0.6667 0.3333 0.2526 [1 per cell]

magnetic moment	0.1	μB/f.u.
E above lowest polymorph	0	meV/atom

DFT (GGA-PBEsol) results for a relaxed MgTlSCl2 crystal.

Cell: 4.870 4.870 5.028 Å, 90.00 90.00 90.00°
Space group P4/mmm (No. 123)
Asymmetric unit:
1 Mg 0.000 0.000 0.000 [1 per cell]
2 Tl 0.500 0.500 0.500 [1 per cell]
3 S 0.000 0.000 0.500 [1 per cell]
4 Cl 0.000 0.500 0.000 [2 per cell]

magnetic moment	1.0	μB/f.u.
E above lowest polymorph	0	meV/atom

DFT (GGA-PBEsol) results for a relaxed Li3SnAs crystal.

Cell: 4.711 4.711 4.711 Å, 90.00 90.00 90.00°
Space group Pm-3m (No. 221)
Asymmetric unit:
1 Li 0.000 0.000 0.500 [3 per cell]
2 Sn 0.500 0.500 0.500 [1 per cell]
3 As 0.000 0.000 0.000 [1 per cell]

energy relative to the elements	-0.186	eV/atom
magnetic moment	0.0	μB/f.u.

DFT (GGA-PBEsol) results for a relaxed MgSbPb2 crystal.

Cell: 7.599 7.599 7.599 Å, 90.00 90.00 90.00°
Space group Fm-3m (No. 225)
Asymmetric unit:
1 Mg 0.000 0.000 0.000 [4 per cell]
2 Sb 0.000 0.000 0.500 [4 per cell]
3 Pb 0.250 0.250 0.250 [8 per cell]

magnetic moment	0.0	μB/f.u.
E above lowest polymorph	90	meV/atom

DFT (GGA-PBEsol) results for a relaxed YBr crystal.

Cell: 3.5606 3.5606 4.3417 Å, 90.00 90.00 120.00°
Space group P-6m2 (No. 187)
Asymmetric unit:
1 Y 0.0000 0.0000 0.0000 [1 per cell]
2 Br 0.6667 0.3333 0.5000 [1 per cell]

calculated total energy	-5.510	eV per atom
magnetic moment	0.0	μB/f.u.

DFT (GGA-PBEsol) results for a relaxed SiIrW4 crystal.

Cell: 7.290 7.290 7.290 Å, 90.00 90.00 90.00°
Space group F-43m (No. 216)
Asymmetric unit:
1 Si 0.000 0.000 0.000 [4 per cell]
2 Ir 0.250 0.250 0.750 [4 per cell]
3 W 0.126 0.126 0.374 [16 per cell]

calculated total energy	-11.090	eV per atom
magnetic moment	0.0	μB/f.u.

DFT (GGA-PBEsol) results for a relaxed MgBe4Co crystal.

Cell: 6.096 6.096 6.096 Å, 90.00 90.00 90.00°
Space group F-43m (No. 216)
Asymmetric unit:
1 Mg 0.000 0.000 0.000 [4 per cell]
2 Be 0.123 0.123 0.623 [16 per cell]
3 Co 0.250 0.250 0.250 [4 per cell]

energy relative to the elements	-0.085	eV/atom
magnetic moment	0.0	μB/f.u.

DFT (GGA-PBEsol) results for a relaxed TaAsOs2 crystal.

Cell: 2.871 4.044 5.225 Å, 90.00 90.00 90.00°
Space group Pmm2 (No. 25)
Asymmetric unit:
1 Ta 0.000 0.000 0.000 [1 per cell]
2 As 0.500 0.500 0.292 [1 per cell]
3 Os 0.000 0.000 0.494 [1 per cell]
4 Os 0.500 0.500 0.770 [1 per cell]

energy relative to the elements	0.171	eV/atom
magnetic moment	0.0	μB/f.u.

DFT (GGA-PBEsol) results for a relaxed Sr2NbFeO6 crystal.

Cell: 7.762 7.762 7.762 Å, 90.00 90.00 90.00°
Space group Fm-3m (No. 225)
Asymmetric unit:
1 Sr 0.250 0.250 0.250 [8 per cell]
2 Nb 0.000 0.000 0.000 [4 per cell]
3 Fe 0.000 0.000 0.500 [4 per cell]
4 O 0.000 0.000 0.257 [24 per cell]

calculated total energy	-8.015	eV per atom
magnetic moment	1.0	μB/f.u.

DFT (GGA-PBEsol) results for a relaxed KRe2 crystal.

Cell: 5.533 5.533 2.446 Å, 90.00 90.00 90.00°
Space group P4/mmm (No. 123)
Asymmetric unit:
1 K 0.000 0.000 0.000 [1 per cell]
2 Re 0.000 0.500 0.500 [2 per cell]

energy relative to the elements	3.526	eV/atom
magnetic moment	0.0	μB/f.u.

DFT (GGA-PBEsol) results for a relaxed Pr3Ga2Ni2 crystal.

Cell: 5.645 8.073 12.859 Å, 90.00 90.00 90.00°
Space group Pbcm (No. 57)
Asymmetric unit:
1 Pr 0.148 0.107 0.098 [8 per cell]
2 Pr 0.347 0.745 0.750 [4 per cell]
3 Ga 0.167 0.099 0.750 [4 per cell]
4 Ga 0.357 0.750 0.000 [4 per cell]
5 Ni 0.388 0.031 0.588 [8 per cell]

energy relative to the elements	-0.498	eV/atom
magnetic moment	0.0	μB/f.u.

DFT (GGA-PBEsol) results for a relaxed PbCI2 crystal.

Cell: 7.615 7.615 7.615 Å, 90.00 90.00 90.00°
Space group Fm-3m (No. 225)
Asymmetric unit:
1 Pb 0.000 0.000 0.000 [4 per cell]
2 C 0.000 0.000 0.500 [4 per cell]
3 I 0.250 0.250 0.250 [8 per cell]

calculated total energy	-2.866	eV per atom
magnetic moment	1.8	μB/f.u.

DFT (GGA-PBEsol) results for a relaxed KMgInNi2 crystal.

Cell: 4.559 4.559 5.498 Å, 90.00 90.00 90.00°
Space group P4/mmm (No. 123)
Asymmetric unit:
1 K 0.000 0.000 0.000 [1 per cell]
2 Mg 0.500 0.500 0.500 [1 per cell]
3 In 0.000 0.000 0.500 [1 per cell]
4 Ni 0.000 0.500 0.000 [2 per cell]

energy relative to the elements	1.589	eV/atom
magnetic moment	0.0	μB/f.u.

DFT (GGA-PBEsol) results for a relaxed Ba3TiMn crystal.

Cell: 5.921 5.921 5.921 Å, 90.00 90.00 90.00°
Space group Pm-3m (No. 221)
Asymmetric unit:
1 Ba 0.000 0.000 0.500 [3 per cell]
2 Ti 0.500 0.500 0.500 [1 per cell]
3 Mn 0.000 0.000 0.000 [1 per cell]

energy relative to the elements	1.046	eV/atom
magnetic moment	5.7	μB/f.u.

DFT (GGA-PBEsol) results for a relaxed Ca2NbAs crystal.

Cell: 10.161 10.161 4.992 Å, 90.00 90.00 90.00°
Space group I-42d (No. 122)
Asymmetric unit:
1 Ca 0.113 0.750 0.125 [8 per cell]
2 Nb 0.000 0.000 0.500 [4 per cell]
3 As 0.000 0.000 0.000 [4 per cell]

energy relative to the elements	0.224	eV/atom
magnetic moment	2.6	μB/f.u.

DFT (GGA-PBEsol) results for a relaxed NbRh2Br crystal.

Cell: 6.373 6.373 6.373 Å, 90.00 90.00 90.00°
Space group Fm-3m (No. 225)
Asymmetric unit:
1 Nb 0.000 0.000 0.000 [4 per cell]
2 Rh 0.250 0.250 0.250 [8 per cell]
3 Br 0.000 0.000 0.500 [4 per cell]

calculated total energy	-6.811	eV per atom
magnetic moment	0.0	μB/f.u.

DFT (GGA-PBEsol) results for a relaxed KNaTeI2 crystal.

Cell: 6.415 6.415 6.228 Å, 90.00 90.00 90.00°
Space group P4/mmm (No. 123)
Asymmetric unit:
1 K 0.000 0.000 0.000 [1 per cell]
2 Na 0.500 0.500 0.500 [1 per cell]
3 Te 0.000 0.000 0.500 [1 per cell]
4 I 0.000 0.500 0.000 [2 per cell]

calculated total energy	-2.165	eV per atom
magnetic moment	2.1	μB/f.u.

DFT (GGA-PBEsol) results for a relaxed Mg2ScTl crystal.

Cell: 3.239 4.632 6.267 Å, 90.00 105.10 90.00°
Space group Pm (No. 6)
Asymmetric unit:
1 Mg 0.000 0.000 0.000 [1 per cell]
2 Mg 0.393 0.500 0.786 [1 per cell]
3 Sc 0.650 0.500 0.300 [1 per cell]
4 Tl 0.250 0.000 0.497 [1 per cell]

energy relative to the elements	-0.141	eV/atom
magnetic moment	0.0	μB/f.u.
E above lowest polymorph	89	meV/atom

DFT (GGA-PBEsol) results for a relaxed K2TaAg crystal.

Cell: 7.981 7.981 7.981 Å, 90.00 90.00 90.00°
Space group Fm-3m (No. 225)
Asymmetric unit:
1 K 0.250 0.250 0.250 [8 per cell]
2 Ta 0.000 0.000 0.000 [4 per cell]
3 Ag 0.000 0.000 0.500 [4 per cell]

energy relative to the elements	1.635	eV/atom
magnetic moment	4.2	μB/f.u.
E above lowest polymorph	518	meV/atom

DFT (GGA-PBEsol) results for a relaxed Ce3Ge4Rh4 crystal.

Cell: 3.873 4.265 24.832 Å, 90.00 90.00 90.00°
Space group Immm (No. 71)
Asymmetric unit:
1 Ce 0.000 0.000 0.000 [2 per cell]
2 Ce 0.000 0.500 0.145 [4 per cell]
3 Ge 0.000 0.000 0.451 [4 per cell]
4 Ge 0.000 0.500 0.305 [4 per cell]
5 Rh 0.000 0.000 0.253 [4 per cell]
6 Rh 0.000 0.500 0.404 [4 per cell]

energy relative to the elements	-0.871	eV/atom
magnetic moment	0.4	μB/f.u.

DFT (GGA-PBEsol) results for a relaxed K2RbSb2 crystal.

Cell: 9.137 9.137 4.900 Å, 90.00 90.00 90.00°
Space group P4/mbm (No. 127)
Asymmetric unit:
1 K 0.172 0.328 0.000 [4 per cell]
2 Rb 0.000 0.000 0.500 [2 per cell]
3 Sb 0.108 0.608 0.500 [4 per cell]

calculated total energy	-2.816	eV per atom
magnetic moment	0.0	μB/f.u.

DFT (GGA-PBEsol) results for a relaxed InSiGeS2 crystal.

Cell: 4.716 4.716 5.082 Å, 90.00 90.00 90.00°
Space group P4/mmm (No. 123)
Asymmetric unit:
1 In 0.000 0.000 0.000 [1 per cell]
2 Si 0.500 0.500 0.000 [1 per cell]
3 Ge 0.000 0.000 0.500 [1 per cell]
4 S 0.000 0.500 0.500 [2 per cell]

calculated total energy	-3.842	eV per atom
magnetic moment	0.0	μB/f.u.

Calculated volume, record by record: 102.1 94.8 163.6 69.5 25.4 82.4 119.2 104.6 109.7 47.7 96.9 56.6 60.6 116.9 74.9 146.5 110.4 114.3 207.6 128.9 64.7 256.3 90.8 127.1 205.1 204.5 113.0 Å³/f.u.